Run i
Material: LaPrDyIn
Method: DFT, GGA-PBE
State: relaxed

The structure belongs to space group F-43m (No. 216); the cell edges are 7.953, 7.953 and 7.953 Å and the angles 90.00°, 90.00° and 90.00°. The asymmetric unit holds La at (0.000, 0.000, 0.000), Pr at (0.000, 0.000, 0.500), Dy at (0.250, 0.250, 0.750) and In at (0.250, 0.250, 0.250).

For the density of states at the Fermi level, the calculation gives 30.910 states/eV per cell.

Run ii
Material: LaPrDyIn
Method: DFT, GGA-PBE
State: relaxed

The structure belongs to space group F-43m (No. 216); the cell edges are 7.883, 7.883 and 7.883 Å and the angles 90.00°, 90.00° and 90.00°. The asymmetric unit holds La at (0.000, 0.000, 0.000), Pr at (0.250, 0.250, 0.250), Dy at (0.250, 0.250, 0.750) and In at (0.000, 0.000, 0.500).

For the density of states at the Fermi level, the calculation gives 29.920 states/eV per cell.

Comparing the structures above, run i comes out on top by 51 meV/atom.